This record from Alexandria describes a relaxed Nd5ErHg3 crystal. The functional is PBE-GGA.

The structure in POSCAR format:
```
Nd5ErHg3
1.0
9.364 0.000 0.000
-4.682 8.110 0.000
0.000 0.000 7.014
Nd Er Hg
10 2 6
direct
0.000 0.335 0.250
0.000 0.665 0.750
0.333 0.667 0.000
0.333 0.667 0.500
0.335 0.000 0.250
0.335 0.335 0.750
0.665 0.000 0.750
0.665 0.665 0.250
0.667 0.333 0.000
0.667 0.333 0.500
0.000 0.000 0.000
0.000 0.000 0.500
0.000 0.327 0.750
0.000 0.673 0.250
0.327 0.000 0.750
0.327 0.327 0.250
0.673 0.000 0.250
0.673 0.673 0.750
```

Values from the calculation:
- SG = P6_3/mcm (193)
- energy relative to the elements (meV/atom) = -286



This record from Alexandria describes a relaxed LiAg2Rh crystal. The functional is PBE-GGA.

The structure in POSCAR format:
```
LiAg2Rh
1.0
1.469 -2.344 0.000
1.469 2.344 0.000
0.000 0.000 9.326
Li Ag Rh
1 2 1
direct
0.000 0.000 0.000
0.500 0.500 0.243
0.500 0.500 0.757
0.000 0.000 0.500
```

Values from the calculation:
- SG = Cmmm (65)
- energy relative to the elements (meV/atom) = 89



This record from Alexandria describes a relaxed K2LiErI6 crystal. The functional is PBE-GGA.

The structure in POSCAR format:
```
K2LiErI6
1.0
8.119 0.000 0.000
0.000 8.525 0.000
-8.018 0.000 11.567
K Li Er I
4 2 2 12
direct
0.220 0.082 0.248
0.220 0.418 0.748
0.780 0.582 0.252
0.780 0.918 0.752
0.000 0.000 0.500
0.000 0.500 0.000
0.500 0.000 0.000
0.500 0.500 0.500
0.147 0.194 0.950
0.147 0.306 0.450
0.262 0.701 0.952
0.262 0.799 0.452
0.349 0.018 0.749
0.349 0.482 0.249
0.651 0.518 0.751
0.651 0.982 0.251
0.738 0.201 0.548
0.738 0.299 0.048
0.853 0.694 0.550
0.853 0.806 0.050
```

Values from the calculation:
- SG = P2_1/c (14)
- formation energy without anion corrections (eV/atom) = -1.3801



This record from Alexandria describes a relaxed InTe crystal. The functional is PBE-GGA.

The structure in POSCAR format:
```
InTe
1.0
6.751 -2.108 0.000
6.751 2.108 0.000
-6.572 0.000 6.831
In Te
3 3
direct
0.000 0.000 0.000
0.610 0.610 0.536
0.857 0.857 0.342
0.231 0.231 0.417
0.312 0.312 0.922
0.601 0.601 0.905
```

Values from the calculation:
- SG = Cm (8)
- formation energy without anion corrections (eV/atom) = -0.1841



N(E_F) for the records above, in order: 8.1 3.1 0.0 0.5 states/eV/f.u.